Record 1
Entry from Alexandria: BaIr2N after structural relaxation (PBE).

Cell lengths 7.1757, 7.1757, 7.1757 Å; angles 136.66, 136.66, 62.96 degrees
Fractional positions:
1 Ba 0.3750 0.6250 0.7500
2 Ba 0.6250 0.3750 0.2500
3 Ir 0.0000 0.0000 0.0000
4 Ir 0.0000 0.0000 0.5000
5 Ir 0.0000 0.5000 0.0000
6 Ir 0.5000 0.0000 0.5000
7 N 0.1250 0.8750 0.2500
8 N 0.8750 0.1250 0.7500

Results
- Uncorrected energy: -6.85 eV per atom
- E_form (uncorrected): 0.144 eV/atom
- Magnetic moment: 0.00 μB/f.u.

=====

Record 2
Entry from Alexandria: Rh after structural relaxation (PBE).

Cell lengths 3.9113, 3.9113, 3.9113 Å; angles 60.00, 60.00, 60.00 degrees
Fractional positions:
1 Rh 0.1250 0.1250 0.1250
2 Rh 0.8750 0.8750 0.8750

Results
- Uncorrected energy: -6.24 eV per atom
- E_form: 1.114 eV/atom
- Distance to the lowest polymorph of the same formula: 1114 meV/atom
- Magnetic moment: 0.00 μB/f.u.

=====

Record 3
Entry from Alexandria: ZnP2Ru after structural relaxation (PBE).

Cell lengths 4.7882, 4.7882, 4.7882 Å; angles 134.38, 134.38, 66.50 degrees
Fractional positions:
1 Zn 0.0000 0.0000 0.0000
2 P 0.2500 0.7500 0.5000
3 P 0.5000 0.5000 0.0000
4 Ru 0.7500 0.2500 0.5000

Results
- Uncorrected energy: -5.08 eV per atom
- E_form: 0.258 eV/atom
- Magnetic moment: 0.00 μB/f.u.

=====

Record 4
Entry from Alexandria: La2Ga4Cu3Au after structural relaxation (PBE).

Cell lengths 4.3509, 4.3509, 10.2204 Å; angles 90.00, 90.00, 90.00 degrees
Fractional positions:
1 La 0.0000 0.5000 0.2480
2 La 0.5000 0.0000 0.7520
3 Ga 0.0000 0.0000 0.0000
4 Ga 0.0000 0.5000 0.6383
5 Ga 0.5000 0.0000 0.3617
6 Ga 0.5000 0.5000 0.0000
7 Cu 0.0000 0.5000 0.8757
8 Cu 0.5000 0.0000 0.1243
9 Cu 0.5000 0.5000 0.5000
10 Au 0.0000 0.0000 0.5000

Results
- Uncorrected energy: -4.26 eV per atom
- E_form: -0.507 eV/atom
- Magnetic moment: 0.00 μB/f.u.

=====

> Which value of uncorrected energy does entry 2 give?

-6.24 eV per atom